This record from OQMD via LeMat-Bulk describes a relaxed YCd7 crystal. The functional is GGA-PBE.

CIF file:
```
data_YCd7
_space_group_name_H-M_alt 'C m c m'
_space_group_IT_number 63
_space_group_name_Hall '-C 2c 2'
_cell_length_a 7.3805
_cell_length_b 10.1800
_cell_length_c 9.4462
_cell_angle_alpha 90.00
_cell_angle_beta 90.00
_cell_angle_gamma 90.00
loop_
_atom_site_label
_atom_site_fract_x
_atom_site_fract_y
_atom_site_fract_z
Y1 0.0000 0.0226 0.2500
Cd1 0.0000 0.2142 0.5189
Cd2 0.0000 0.4149 0.7500
Cd3 0.2006 0.3007 0.2500
Cd4 0.2066 0.5000 0.0000
```

## Properties
* final energy: -1.76 eV/atom
* crystal system: orthorhombic
* energy of formation from the pure elements: -0.168 eV/atom
* total magnetic moment: 0.00 μB/atom